Entry 1:
Hf2MnSbH: optimized geometry, PBE-GGA.

Lattice parameters (Å, degrees): 4.3631 4.3631 4.1297 90.00 90.00 90.00
Last column: nearest neighbours and their distance in Å.
Positions (direct):
Hf1 0.5000 0.0000 0.0000  2 H 2.18
Hf2 0.0000 0.5000 0.0000  2 H 2.18
Mn1 0.0000 0.0000 0.5000  2 H 2.06
H1 0.0000 0.0000 0.0000  2 Mn 2.06, 4 Hf 2.18
Sb1 0.5000 0.5000 0.5000  8 Hf 3.00, 4 Mn 3.09

Summary:
- total DFT energy (no corrections) (eV per formula unit) = -37.690
- N(E_F) (states/eV/cell) = 4.16
- symmetry = P4/mmm (123)

Entry 2:
HfMnSb2H: optimized geometry, PBE-GGA.

Lattice parameters (Å, degrees): 4.8040 4.8289 4.8040 90.00 90.00 90.00
Last column: nearest neighbours and their distance in Å.
Positions (direct):
Sb1 0.0000 0.0000 0.5000  2 Mn 2.40
Sb2 0.5000 0.0000 0.0000  2 Mn 2.40
Mn1 0.0000 0.0000 0.0000  4 Sb 2.40, 2 Hf 2.41
Hf1 0.0000 0.5000 0.0000  2 Mn 2.41
H1 0.5000 0.5000 0.5000  4 Hf 3.40, 8 Sb 3.41

Summary:
- total DFT energy (no corrections) (eV per formula unit) = -27.297
- N(E_F) (states/eV/cell) = 3.05
- symmetry = P4/mmm (123)

Entry 3:
HfMn2SbH: optimized geometry, PBE-GGA.

Lattice parameters (Å, degrees): 4.0829 4.0829 4.2219 90.00 90.00 90.00
Last column: nearest neighbours and their distance in Å.
Positions (direct):
Sb1 0.5000 0.5000 0.5000  4 Hf 2.89, 8 Mn 2.94
Hf1 0.0000 0.0000 0.5000  2 H 2.11
Mn1 0.5000 0.0000 0.0000  2 H 2.04
Mn2 0.0000 0.5000 0.0000  2 H 2.04
H1 0.0000 0.0000 0.0000  4 Mn 2.04, 2 Hf 2.11

Summary:
- total DFT energy (no corrections) (eV per formula unit) = -36.319
- N(E_F) (states/eV/cell) = 4.44
- symmetry = P4/mmm (123)

Entry 4:
Hf2MnSiH: optimized geometry, PBE-GGA.

Lattice parameters (Å, degrees): 4.3091 3.6380 4.3091 90.00 90.00 90.00
Last column: nearest neighbours and their distance in Å.
Positions (direct):
Mn1 0.0000 0.5000 0.0000  2 H 1.82
Hf1 0.0000 0.0000 0.5000  2 H 2.15
Hf2 0.5000 0.0000 0.0000  2 H 2.15
H1 0.0000 0.0000 0.0000  2 Mn 1.82
Si1 0.5000 0.5000 0.5000  8 Hf 2.82, 4 Mn 3.05

Summary:
- total DFT energy (no corrections) (eV per formula unit) = -39.412
- N(E_F) (states/eV/cell) = 3.26
- symmetry = P4/mmm (123)

Entry 5:
HfMn2SiH: optimized geometry, PBE-GGA.

Lattice parameters (Å, degrees): 3.8372 3.8372 3.9976 90.00 90.00 90.00
Last column: nearest neighbours and their distance in Å.
Positions (direct):
Mn1 0.5000 0.0000 0.0000  2 H 1.92
Mn2 0.0000 0.5000 0.0000  2 H 1.92
H1 0.0000 0.0000 0.0000  4 Mn 1.92, 2 Hf 2.00
Si1 0.5000 0.5000 0.5000  4 Hf 2.71, 8 Mn 2.77
Hf1 0.0000 0.0000 0.5000  2 H 2.00

Summary:
- total DFT energy (no corrections) (eV per formula unit) = -38.217
- N(E_F) (states/eV/cell) = 2.99
- symmetry = P4/mmm (123)

Entry 6:
Hf2MnSnH: optimized geometry, PBE-GGA.

Lattice parameters (Å, degrees): 4.3351 4.3351 4.2248 90.00 90.00 90.00
Last column: nearest neighbours and their distance in Å.
Positions (direct):
Sn1 0.5000 0.5000 0.5000  8 Hf 3.03, 4 Mn 3.07
Mn1 0.0000 0.0000 0.5000  2 H 2.11
Hf1 0.5000 0.0000 0.0000  2 H 2.17
Hf2 0.0000 0.5000 0.0000  2 H 2.17
H1 0.0000 0.0000 0.0000  2 Mn 2.11, 4 Hf 2.17

Summary:
- total DFT energy (no corrections) (eV per formula unit) = -37.497
- N(E_F) (states/eV/cell) = 3.72
- symmetry = P4/mmm (123)

Entry 7:
SrHf2MnH: optimized geometry, PBE-GGA.

Lattice parameters (Å, degrees): 4.6789 5.4382 4.6789 90.00 90.00 90.00
Last column: nearest neighbours and their distance in Å.
Positions (direct):
Mn1 0.0000 0.0000 0.0000  4 Hf 2.34
Hf1 0.5000 0.0000 0.0000  2 Mn 2.34
Hf2 0.0000 0.0000 0.5000  2 Mn 2.34
H1 0.0000 0.5000 0.0000  2 Mn 2.72
Sr1 0.5000 0.5000 0.5000  4 H 3.31, 8 Hf 3.59

Summary:
- total DFT energy (no corrections) (eV per formula unit) = -29.659
- N(E_F) (states/eV/cell) = 4.13
- symmetry = P4/mmm (123)

Entry 8:
HfMn2TcH: optimized geometry, PBE-GGA.

Lattice parameters (Å, degrees): 3.8181 3.8181 4.2091 90.00 90.00 90.00
Last column: nearest neighbours and their distance in Å.
Positions (direct):
Mn1 0.5000 0.0000 0.0000  2 H 1.91
Mn2 0.0000 0.5000 0.0000  2 H 1.91
Hf1 0.5000 0.5000 0.5000  4 Tc 2.70, 8 Mn 2.84
Tc1 0.0000 0.0000 0.5000  2 H 2.10
H1 0.0000 0.0000 0.0000  4 Mn 1.91, 2 Tc 2.10

Summary:
- total DFT energy (no corrections) (eV per formula unit) = -42.076
- N(E_F) (states/eV/cell) = 5.08
- symmetry = P4/mmm (123)

Entry 9:
HfMnTc2H: optimized geometry, PBE-GGA.

Lattice parameters (Å, degrees): 4.3181 4.3181 3.4377 90.00 90.00 90.00
Last column: nearest neighbours and their distance in Å.
Positions (direct):
H1 0.0000 0.0000 0.0000  2 Mn 1.72
Tc1 0.5000 0.0000 0.0000  2 H 2.16
Tc2 0.0000 0.5000 0.0000  2 H 2.16
Mn1 0.0000 0.0000 0.5000  2 H 1.72
Hf1 0.5000 0.5000 0.5000  8 Tc 2.76, 4 Mn 3.05

Summary:
- total DFT energy (no corrections) (eV per formula unit) = -43.775
- N(E_F) (states/eV/cell) = 3.36
- symmetry = P4/mmm (123)

Entry 10:
HfTi2MnH: optimized geometry, PBE-GGA.

Lattice parameters (Å, degrees): 4.9632 4.6774 4.9632 90.00 90.00 90.00
Last column: nearest neighbours and their distance in Å.
Positions (direct):
Ti1 0.0000 0.0000 0.5000  2 Hf 2.48
Ti2 0.5000 0.0000 0.0000  2 Hf 2.48
Mn1 0.0000 0.5000 0.0000  2 Hf 2.34
Hf1 0.0000 0.0000 0.0000  2 Mn 2.34, 4 Ti 2.48
H1 0.5000 0.5000 0.5000  8 Ti 3.41, 4 Mn 3.51

Summary:
- total DFT energy (no corrections) (eV per formula unit) = -28.843
- N(E_F) (states/eV/cell) = 5.76
- symmetry = P4/mmm (123)

Copy entry 7 word for word.
SrHf2MnH: optimized geometry, PBE-GGA.

Lattice parameters (Å, degrees): 4.6789 5.4382 4.6789 90.00 90.00 90.00
Last column: nearest neighbours and their distance in Å.
Positions (direct):
Mn1 0.0000 0.0000 0.0000  4 Hf 2.34
Hf1 0.5000 0.0000 0.0000  2 Mn 2.34
Hf2 0.0000 0.0000 0.5000  2 Mn 2.34
H1 0.0000 0.5000 0.0000  2 Mn 2.72
Sr1 0.5000 0.5000 0.5000  4 H 3.31, 8 Hf 3.59

Summary:
- total DFT energy (no corrections) (eV per formula unit) = -29.659
- N(E_F) (states/eV/cell) = 4.13
- symmetry = P4/mmm (123)

Repeat the fourth record exactly.
Hf2MnSiH: optimized geometry, PBE-GGA.

Lattice parameters (Å, degrees): 4.3091 3.6380 4.3091 90.00 90.00 90.00
Last column: nearest neighbours and their distance in Å.
Positions (direct):
Mn1 0.0000 0.5000 0.0000  2 H 1.82
Hf1 0.0000 0.0000 0.5000  2 H 2.15
Hf2 0.5000 0.0000 0.0000  2 H 2.15
H1 0.0000 0.0000 0.0000  2 Mn 1.82
Si1 0.5000 0.5000 0.5000  8 Hf 2.82, 4 Mn 3.05

Summary:
- total DFT energy (no corrections) (eV per formula unit) = -39.412
- N(E_F) (states/eV/cell) = 3.26
- symmetry = P4/mmm (123)

Q: The highest N(E_F) belongs to which entry?
A: HfTi2MnH

Q: total DFT energy (no corrections) of number 8 (HfMn2TcH)?
A: -42.076 eV per formula unit